No. 1
Below is a relaxed SmPaPd2O8 crystal, with properties calculated at the PBE-GGA level.

The space group is I-4m2 (No. 119) and the conventional cell measures 5.271, 5.271 and 10.655 Å, with angles of 90.00, 90.00 and 90.00 degrees. The inequivalent atoms are Sm at (0.000, 0.000, 0.000), Pa at (0.000, 0.500, 0.750), Pd at (0.000, 0.000, 0.500), Pd at (0.000, 0.500, 0.250) and O at (0.234, 0.243, 0.371).

The value obtained for the energy relative to the elements, uncorrected is -1618 meV per atom. Its crystal system is tetragonal. The total magnetic moment comes out at 0.00 μB/f.u.

---

No. 2
Below is a relaxed SmPaPdO6 crystal, with properties calculated at the PBE-GGA level.

The space group is P312 (No. 149) and the conventional cell measures 5.4470, 5.4470 and 4.9160 Å, with angles of 90.00, 90.00 and 120.00 degrees. The inequivalent atoms are Sm at (0.0000, 0.0000, 0.0000), Pa at (0.6667, 0.3333, 0.5000), Pd at (0.3333, 0.6667, 0.0000) and O at (0.0121, 0.3703, 0.2427).

The value obtained for the energy relative to the elements, uncorrected is -2374 meV per atom. Its crystal system is trigonal. The total magnetic moment comes out at 0.00 μB/f.u.

---

No. 3
Below is a relaxed PaSnPdO6 crystal, with properties calculated at the PBE-GGA level.

The space group is P4_2nm (No. 102) and the conventional cell measures 5.050, 5.050 and 9.706 Å, with angles of 90.00, 90.00 and 90.00 degrees. The inequivalent atoms are Pa at (0.000, 0.000, 0.000), Sn at (0.000, 0.000, 0.336), Pd at (0.000, 0.000, 0.668), O at (0.183, 0.183, 0.503), O at (0.188, 0.188, 0.173) and O at (0.198, 0.198, 0.832).

The value obtained for the energy relative to the elements, uncorrected is -1923 meV per atom. Its crystal system is tetragonal. The total magnetic moment comes out at 0.95 μB/f.u.

---

No. 4
Below is a relaxed SrPa2PdO8 crystal, with properties calculated at the PBE-GGA level.

The space group is P-3m1 (No. 164) and the conventional cell measures 5.3966, 5.3966 and 6.7110 Å, with angles of 90.00, 90.00 and 120.00 degrees. The inequivalent atoms are Sr at (0.0000, 0.0000, 0.0000), Pa at (0.3333, 0.6667, 0.3751), Pd at (0.0000, 0.0000, 0.5000), O at (0.1769, 0.3539, 0.6604) and O at (0.3333, 0.6667, 0.0935).

The value obtained for the energy relative to the elements, uncorrected is -2390 meV per atom. Its crystal system is trigonal. The total magnetic moment comes out at 0.00 μB/f.u.

---

No. 5
Below is a relaxed SrPaPd2O8 crystal, with properties calculated at the PBE-GGA level.

The space group is I-4 (No. 82) and the conventional cell measures 5.487, 5.487 and 11.201 Å, with angles of 90.00, 90.00 and 90.00 degrees. The inequivalent atoms are Sr at (0.000, 0.000, 0.000), Pa at (0.000, 0.500, 0.250), Pd at (0.000, 0.000, 0.500), Pd at (0.000, 0.500, 0.750), O at (0.070, 0.380, 0.461) and O at (0.173, 0.810, 0.780).

The value obtained for the energy relative to the elements, uncorrected is -1435 meV per atom. Its crystal system is tetragonal. The total magnetic moment comes out at 0.91 μB/f.u.

---

No. 6
Below is a relaxed Sr2PaPdO6 crystal, with properties calculated at the PBE-GGA level.

The space group is P4/mmm (No. 123) and the conventional cell measures 4.289, 4.289 and 8.374 Å, with angles of 90.00, 90.00 and 90.00 degrees. The inequivalent atoms are Sr at (0.000, 0.000, 0.197), Pa at (0.500, 0.500, 0.500), Pd at (0.500, 0.500, 0.000), O at (0.000, 0.500, 0.000), O at (0.000, 0.500, 0.500) and O at (0.500, 0.500, 0.244).

The value obtained for the energy relative to the elements, uncorrected is -2488 meV per atom. Its crystal system is tetragonal. The total magnetic moment comes out at 0.00 μB/f.u.

---

No. 7
Below is a relaxed Sr2PaPd2O6 crystal, with properties calculated at the PBE-GGA level.

The space group is P-3 (No. 147) and the conventional cell measures 6.1331, 6.1331 and 6.3160 Å, with angles of 90.00, 90.00 and 120.00 degrees. The inequivalent atoms are Sr at (0.3333, 0.6667, 0.1900), Pa at (0.0000, 0.0000, 0.5000), Pd at (0.3333, 0.6667, 0.6997) and O at (0.0275, 0.3047, 0.7016).

The value obtained for the energy relative to the elements, uncorrected is -1951 meV per atom. Its crystal system is trigonal. The total magnetic moment comes out at 2.79 μB/f.u.

---

No. 8
Below is a relaxed SrPaPdO5 crystal, with properties calculated at the PBE-GGA level.

The space group is C2/c (No. 15) and the conventional cell measures 6.506, 10.271 and 8.160 Å, with angles of 90.00, 108.90 and 90.00 degrees. The inequivalent atoms are Sr at (0.000, 0.183, 0.250), Pa at (0.000, 0.500, 0.000), Pd at (0.000, 0.163, 0.750), O at (0.000, 0.425, 0.250), O at (0.043, 0.298, 0.581) and O at (0.150, 0.022, 0.917).

The value obtained for the energy relative to the elements, uncorrected is -2283 meV per atom. Its crystal system is monoclinic. The total magnetic moment comes out at 1.03 μB/f.u.

---

No. 9
Below is a relaxed SrPaPdO6 crystal, with properties calculated at the PBE-GGA level.

The space group is P312 (No. 149) and the conventional cell measures 5.5548, 5.5548 and 4.8402 Å, with angles of 90.00, 90.00 and 120.00 degrees. The inequivalent atoms are Sr at (0.0000, 0.0000, 0.0000), Pa at (0.6667, 0.3333, 0.5000), Pd at (0.3333, 0.6667, 0.0000) and O at (0.0150, 0.3896, 0.2451).

The value obtained for the energy relative to the elements, uncorrected is -1981 meV per atom. Its crystal system is trigonal. The total magnetic moment comes out at 0.78 μB/f.u.

---

No. 10
Below is a relaxed TbPaPd2O8 crystal, with properties calculated at the PBE-GGA level.

The space group is I-4m2 (No. 119) and the conventional cell measures 5.239, 5.239 and 10.595 Å, with angles of 90.00, 90.00 and 90.00 degrees. The inequivalent atoms are Tb at (0.000, 0.000, 0.000), Pa at (0.000, 0.500, 0.250), Pd at (0.000, 0.000, 0.500), Pd at (0.000, 0.500, 0.750) and O at (0.236, 0.246, 0.627).

The value obtained for the energy relative to the elements, uncorrected is -1652 meV per atom. Its crystal system is tetragonal. The total magnetic moment comes out at 0.00 μB/f.u.

---

No. 11
Below is a relaxed PaTcPdO6 crystal, with properties calculated at the PBE-GGA level.

The space group is P-31c (No. 163) and the conventional cell measures 5.4738, 5.4738 and 9.0983 Å, with angles of 90.00, 90.00 and 120.00 degrees. The inequivalent atoms are Pa at (0.3333, 0.6667, 0.2500), Tc at (0.3333, 0.6667, 0.7500), Pd at (0.0000, 0.0000, 0.0000) and O at (0.0288, 0.3683, 0.6317).

The value obtained for the energy relative to the elements, uncorrected is -1846 meV per atom. Its crystal system is trigonal. The total magnetic moment comes out at 0.05 μB/f.u.

---

No. 12
Below is a relaxed PaTe2PdO8 crystal, with properties calculated at the PBE-GGA level.

The space group is I-4m2 (No. 119) and the conventional cell measures 7.227, 7.227 and 7.135 Å, with angles of 90.00, 90.00 and 90.00 degrees. The inequivalent atoms are Pa at (0.000, 0.000, 0.000), Te at (0.000, 0.000, 0.500), Te at (0.000, 0.500, 0.250), Pd at (0.000, 0.500, 0.750), O at (0.000, 0.191, 0.689) and O at (0.000, 0.290, 0.063).

The value obtained for the energy relative to the elements, uncorrected is -1296 meV per atom. Its crystal system is tetragonal. The total magnetic moment comes out at 0.86 μB/f.u.

---

No. 13
Below is a relaxed PaTe2PdO crystal, with properties calculated at the PBE-GGA level.

The space group is P4/nmm (No. 129, origin choice 2) and the conventional cell measures 3.948, 3.948 and 14.384 Å, with angles of 90.00, 90.00 and 90.00 degrees. The inequivalent atoms are Pa at (0.250, 0.250, 0.090), Te at (0.250, 0.250, 0.417), Te at (0.250, 0.250, 0.795), Pd at (0.250, 0.250, 0.605) and O at (0.250, 0.750, 0.000).

The value obtained for the energy relative to the elements, uncorrected is -1459 meV per atom. Its crystal system is tetragonal. The total magnetic moment comes out at 1.15 μB/f.u.

---

No. 14
Below is a relaxed ThPaPdO6 crystal, with properties calculated at the PBE-GGA level.

The space group is P312 (No. 149) and the conventional cell measures 5.5199, 5.5199 and 5.0384 Å, with angles of 90.00, 90.00 and 120.00 degrees. The inequivalent atoms are Th at (0.0000, 0.0000, 0.0000), Pa at (0.6667, 0.3333, 0.5000), Pd at (0.3333, 0.6667, 0.0000) and O at (0.3563, 0.0005, 0.2445).

The value obtained for the energy relative to the elements, uncorrected is -2586 meV per atom. Its crystal system is trigonal. The total magnetic moment comes out at 1.03 μB/f.u.

---

No. 15
Below is a relaxed ThPaPd2O8 crystal, with properties calculated at the PBE-GGA level.

The space group is I-4 (No. 82) and the conventional cell measures 5.532, 5.532 and 10.653 Å, with angles of 90.00, 90.00 and 90.00 degrees. The inequivalent atoms are Th at (0.000, 0.000, 0.000), Pa at (0.000, 0.500, 0.750), Pd at (0.000, 0.000, 0.500), Pd at (0.000, 0.500, 0.250), O at (0.135, 0.314, 0.552) and O at (0.170, 0.811, 0.202).

The value obtained for the energy relative to the elements, uncorrected is -1858 meV per atom. Its crystal system is tetragonal. The total magnetic moment comes out at 2.97 μB/f.u.

---

No. 16
Below is a relaxed PaTiPdO6 crystal, with properties calculated at the PBE-GGA level.

The space group is P4_2nm (No. 102) and the conventional cell measures 4.931, 4.931 and 9.525 Å, with angles of 90.00, 90.00 and 90.00 degrees. The inequivalent atoms are Pa at (0.000, 0.000, 0.000), Ti at (0.000, 0.000, 0.665), Pd at (0.000, 0.000, 0.331), O at (0.181, 0.181, 0.502), O at (0.183, 0.183, 0.817) and O at (0.205, 0.205, 0.169).

The value obtained for the energy relative to the elements, uncorrected is -2402 meV per atom. Its crystal system is tetragonal. The total magnetic moment comes out at 0.00 μB/f.u.

---

No. 17
Below is a relaxed PaTlPdO4 crystal, with properties calculated at the PBE-GGA level.

The space group is Imma (No. 74) and the conventional cell measures 6.013, 6.983 and 11.788 Å, with angles of 90.00, 90.00 and 90.00 degrees. The inequivalent atoms are Pa at (0.000, 0.000, 0.000), Tl at (0.000, 0.250, 0.315), Pd at (0.250, 0.250, 0.750), O at (0.000, 0.067, 0.811) and O at (0.212, 0.250, 0.023).

The value obtained for the energy relative to the elements, uncorrected is -1935 meV per atom. Its crystal system is orthorhombic. The total magnetic moment comes out at 0.00 μB/f.u.

---

No. 18
Below is a relaxed PaTlPdO6 crystal, with properties calculated at the PBE-GGA level.

The space group is P4_2nm (No. 102) and the conventional cell measures 4.998, 4.998 and 10.076 Å, with angles of 90.00, 90.00 and 90.00 degrees. The inequivalent atoms are Pa at (0.000, 0.000, 0.000), Tl at (0.000, 0.000, 0.669), Pd at (0.000, 0.000, 0.335), O at (0.180, 0.180, 0.175), O at (0.189, 0.189, 0.486) and O at (0.211, 0.211, 0.844).

The value obtained for the energy relative to the elements, uncorrected is -1622 meV per atom. Its crystal system is tetragonal. The total magnetic moment comes out at 0.00 μB/f.u.

---

No. 19
Below is a relaxed PaTl2PdO4 crystal, with properties calculated at the PBE-GGA level.

The space group is I-4 (No. 82) and the conventional cell measures 6.556, 6.556 and 7.293 Å, with angles of 90.00, 90.00 and 90.00 degrees. The inequivalent atoms are Pa at (0.000, 0.000, 0.000), Tl at (0.000, 0.000, 0.500), Tl at (0.000, 0.500, 0.750), Pd at (0.000, 0.500, 0.250) and O at (0.140, 0.202, 0.181).

The value obtained for the energy relative to the elements, uncorrected is -1489 meV per atom. Its crystal system is tetragonal. The total magnetic moment comes out at 1.02 μB/f.u.

---

No. 20
Below is a relaxed PaTl2PdO6 crystal, with properties calculated at the PBE-GGA level.

The space group is Fm-3m (No. 225) and the conventional cell measures 8.363, 8.363 and 8.363 Å, with angles of 90.00, 90.00 and 90.00 degrees. The inequivalent atoms are Pa at (0.000, 0.000, 0.000), Tl at (0.250, 0.250, 0.250), Pd at (0.000, 0.000, 0.500) and O at (0.000, 0.000, 0.258).

The value obtained for the energy relative to the elements, uncorrected is -1510 meV per atom. Its crystal system is cubic. The total magnetic moment comes out at 0.00 μB/f.u.